Entry 1:
# SrNi

A geometry-optimized SrNi structure (PBEsol, the Alexandria database). Values from VASP.

Values from the calculation:
E_tot ... -3.52 eV per atom
D(E_F) ... 2.25 states/eV/cell
Space-group type ... P-6m2, No. 187

```
&SYSTEM
  ibrav = 0, nat = 2, ntyp = 2
/
ATOMIC_SPECIES
Sr 87.62 Sr.upf
Ni 58.69 Ni.upf
CELL_PARAMETERS angstrom
3.9798 0.0000 0.0000
-1.9899 3.4466 0.0000
0.0000 0.0000 3.7176
ATOMIC_POSITIONS angstrom
Sr 0.0000 0.0000 0.0000
Ni 1.9899 1.1489 1.8588
```

Entry 2:
# SrNi

A geometry-optimized SrNi structure (PBEsol, the Alexandria database). Values from VASP.

Values from the calculation:
E_tot ... -3.90 eV per atom
D(E_F) ... 2.36 states/eV/cell
Space-group type ... Imma, No. 74

```
&SYSTEM
  ibrav = 0, nat = 4, ntyp = 2
/
ATOMIC_SPECIES
Sr 87.62 Sr.upf
Ni 58.69 Ni.upf
CELL_PARAMETERS angstrom
-2.0173 2.0832 6.8693
2.0173 -2.0832 6.8693
2.0173 2.0832 -6.8693
ATOMIC_POSITIONS angstrom
Sr 0.0000 1.0416 1.7895
Sr 2.0173 1.0416 5.0798
Ni 2.0173 1.0416 -2.9854
Ni 0.0000 1.0416 9.8546
```

Entry 3:
# SrNi3

A geometry-optimized SrNi3 structure (PBEsol, the Alexandria database). Values from VASP.

Values from the calculation:
E_tot ... -4.58 eV per atom
D(E_F) ... 4.40 states/eV/cell
Space-group type ... Pm-3m, No. 221

```
&SYSTEM
  ibrav = 0, nat = 4, ntyp = 2
/
ATOMIC_SPECIES
Sr 87.62 Sr.upf
Ni 58.69 Ni.upf
CELL_PARAMETERS angstrom
3.9039 0.0000 0.0000
0.0000 3.9039 0.0000
0.0000 0.0000 3.9039
ATOMIC_POSITIONS angstrom
Sr 0.0000 0.0000 0.0000
Ni 0.0000 1.9520 1.9520
Ni 1.9520 0.0000 1.9520
Ni 1.9520 1.9520 0.0000
```

Entry 4:
# SrNi3

A geometry-optimized SrNi3 structure (PBEsol, the Alexandria database). Values from VASP.

Values from the calculation:
E_tot ... -5.08 eV per atom
D(E_F) ... 8.48 states/eV/cell
Space-group type ... Pmmn, No. 59

```
&SYSTEM
  ibrav = 0, nat = 8, ntyp = 2
/
ATOMIC_SPECIES
Sr 87.62 Sr.upf
Ni 58.69 Ni.upf
CELL_PARAMETERS angstrom
4.0037 0.0000 0.0000
0.0000 6.4986 0.0000
0.0000 0.0000 5.4007
ATOMIC_POSITIONS angstrom
Sr 1.0009 1.6246 0.5873
Sr 3.0027 4.8739 4.8134
Ni 1.0009 0.4247 3.1922
Ni 1.0009 2.8246 3.1922
Ni 1.0009 4.8739 2.1188
Ni 3.0027 1.6246 3.2820
Ni 3.0027 3.6740 2.2086
Ni 3.0027 6.0739 2.2086
```

Entry 5:
# SrTa2Ni

A geometry-optimized SrTa2Ni structure (PBEsol, the Alexandria database). Values from VASP.

Values from the calculation:
E above lowest polymorph ... 1.03 eV/f.u.
E_tot ... -7.56 eV per atom
D(E_F) ... 4.00 states/eV/cell
Space-group type ... R-3m, No. 166

```
&SYSTEM
  ibrav = 0, nat = 4, ntyp = 3
/
ATOMIC_SPECIES
Sr 87.62 Sr.upf
Ta 180.95 Ta.upf
Ni 58.69 Ni.upf
CELL_PARAMETERS angstrom
1.4909 0.8608 9.8640
-1.4909 0.8608 9.8640
0.0000 -1.7215 9.8640
ATOMIC_POSITIONS angstrom
Sr 0.0000 0.0000 0.0000
Ta 0.0000 0.0000 6.9066
Ta 0.0000 0.0000 22.6853
Ni 0.0000 0.0000 14.7959
```

Entry 6:
# SrTa2Ni

A geometry-optimized SrTa2Ni structure (PBEsol, the Alexandria database). Values from VASP.

Values from the calculation:
E above lowest polymorph ... 1.24 eV/f.u.
E_tot ... -7.50 eV per atom
D(E_F) ... 4.40 states/eV/cell
Space-group type ... P2/m, No. 10

```
&SYSTEM
  ibrav = 0, nat = 4, ntyp = 3
/
ATOMIC_SPECIES
Sr 87.62 Sr.upf
Ta 180.95 Ta.upf
Ni 58.69 Ni.upf
CELL_PARAMETERS angstrom
2.9772 0.0000 0.0000
0.0000 5.0419 0.0000
-0.8639 0.0000 5.0892
ATOMIC_POSITIONS angstrom
Sr 0.0000 0.0000 0.0000
Ta 0.2578 2.5210 3.6645
Ta 1.8555 2.5210 1.4247
Ni 1.0566 0.0000 2.5446
```

Entry 7:
# Sr2TaNi

A geometry-optimized Sr2TaNi structure (PBEsol, the Alexandria database). Values from VASP.

Values from the calculation:
E above lowest polymorph ... 0.00 eV/f.u.
E_tot ... -4.53 eV per atom
D(E_F) ... 5.37 states/eV/cell
Space-group type ... P4/mmm, No. 123

```
&SYSTEM
  ibrav = 0, nat = 4, ntyp = 3
/
ATOMIC_SPECIES
Sr 87.62 Sr.upf
Ta 180.95 Ta.upf
Ni 58.69 Ni.upf
CELL_PARAMETERS angstrom
5.5317 0.0000 0.0000
0.0000 5.5317 0.0000
0.0000 0.0000 3.1952
ATOMIC_POSITIONS angstrom
Sr 0.0000 2.7658 0.0000
Sr 2.7658 0.0000 0.0000
Ta 0.0000 0.0000 1.5976
Ni 2.7658 2.7658 1.5976
```

Entry 8:
# SrTa2Ni

A geometry-optimized SrTa2Ni structure (PBEsol, the Alexandria database). Values from VASP.

Values from the calculation:
E above lowest polymorph ... 2.93 eV/f.u.
E_tot ... -7.08 eV per atom
D(E_F) ... 3.73 states/eV/cell
Space-group type ... P4/mmm, No. 123

```
&SYSTEM
  ibrav = 0, nat = 4, ntyp = 3
/
ATOMIC_SPECIES
Sr 87.62 Sr.upf
Ta 180.95 Ta.upf
Ni 58.69 Ni.upf
CELL_PARAMETERS angstrom
4.8582 0.0000 0.0000
0.0000 4.8582 0.0000
0.0000 0.0000 3.0032
ATOMIC_POSITIONS angstrom
Sr 0.0000 0.0000 0.0000
Ta 0.0000 2.4291 1.5016
Ta 2.4291 0.0000 1.5016
Ni 2.4291 2.4291 0.0000
```

Entry 9:
# SrTa2Ni

A geometry-optimized SrTa2Ni structure (PBEsol, the Alexandria database). Values from VASP.

Values from the calculation:
E above lowest polymorph ... 0.00 eV/f.u.
E_tot ... -7.81 eV per atom
D(E_F) ... 5.01 states/eV/cell
Space-group type ... Immm, No. 71

```
&SYSTEM
  ibrav = 0, nat = 4, ntyp = 3
/
ATOMIC_SPECIES
Sr 87.62 Sr.upf
Ta 180.95 Ta.upf
Ni 58.69 Ni.upf
CELL_PARAMETERS angstrom
-1.4296 2.4566 5.4598
1.4296 -2.4566 5.4598
1.4296 2.4566 -5.4598
ATOMIC_POSITIONS angstrom
Sr 0.0000 0.0000 0.0000
Ta 1.4296 0.0000 3.1925
Ta 0.0000 2.4566 2.2673
Ni 0.0000 0.0000 5.4598
```

Entry 10:
# Sr2TaNi

A geometry-optimized Sr2TaNi structure (PBEsol, the Alexandria database). Values from VASP.

Values from the calculation:
E above lowest polymorph ... 0.13 eV/f.u.
E_tot ... -4.50 eV per atom
D(E_F) ... 6.24 states/eV/cell
Space-group type ... I4/mmm, No. 139

```
&SYSTEM
  ibrav = 0, nat = 4, ntyp = 3
/
ATOMIC_SPECIES
Sr 87.62 Sr.upf
Ta 180.95 Ta.upf
Ni 58.69 Ni.upf
CELL_PARAMETERS angstrom
-2.1261 2.1261 5.0236
2.1261 -2.1261 5.0236
2.1261 2.1261 -5.0236
ATOMIC_POSITIONS angstrom
Sr 2.1261 0.0000 2.5118
Sr 0.0000 2.1261 2.5118
Ta 0.0000 0.0000 0.0000
Ni 0.0000 0.0000 5.0236
```

Entry 11:
# SrTaNi

A geometry-optimized SrTaNi structure (PBEsol, the Alexandria database). Values from VASP.

Values from the calculation:
E_tot ... -6.51 eV per atom
D(E_F) ... 2.20 states/eV/cell
Space-group type ... I4mm, No. 107

```
&SYSTEM
  ibrav = 0, nat = 3, ntyp = 3
/
ATOMIC_SPECIES
Sr 87.62 Sr.upf
Ta 180.95 Ta.upf
Ni 58.69 Ni.upf
CELL_PARAMETERS angstrom
-1.6381 1.6381 6.0247
1.6381 -1.6381 6.0247
1.6381 1.6381 -6.0247
ATOMIC_POSITIONS angstrom
Sr 0.0000 0.0000 0.0000
Ta 0.0000 0.0000 3.2838
Ni 0.0000 0.0000 8.4558
```

Entry 12:
# SrTc2Ni

A geometry-optimized SrTc2Ni structure (PBEsol, the Alexandria database). Values from VASP.

Values from the calculation:
E above lowest polymorph ... 0.00 eV/f.u.
E_tot ... -7.22 eV per atom
D(E_F) ... 5.00 states/eV/cell
Space-group type ... P4mm, No. 99

```
&SYSTEM
  ibrav = 0, nat = 4, ntyp = 3
/
ATOMIC_SPECIES
Sr 87.62 Sr.upf
Tc 98.00 Tc.upf
Ni 58.69 Ni.upf
CELL_PARAMETERS angstrom
3.0835 0.0000 0.0000
0.0000 3.0835 0.0000
0.0000 0.0000 7.3567
ATOMIC_POSITIONS angstrom
Sr 0.0000 0.0000 0.0000
Tc 0.0000 0.0000 3.7466
Tc 1.5417 1.5417 2.4793
Ni 1.5417 1.5417 5.1284
```

Entry 13:
# SrTc2Ni

A geometry-optimized SrTc2Ni structure (PBEsol, the Alexandria database). Values from VASP.

Values from the calculation:
E above lowest polymorph ... 1.58 eV/f.u.
E_tot ... -6.82 eV per atom
D(E_F) ... 2.96 states/eV/cell
Space-group type ... Imm2, No. 44

```
&SYSTEM
  ibrav = 0, nat = 4, ntyp = 3
/
ATOMIC_SPECIES
Sr 87.62 Sr.upf
Tc 98.00 Tc.upf
Ni 58.69 Ni.upf
CELL_PARAMETERS angstrom
-1.5966 2.5756 4.3673
1.5966 -2.5756 4.3673
1.5966 2.5756 -4.3673
ATOMIC_POSITIONS angstrom
Sr 0.0000 0.0000 0.0000
Tc 1.5966 0.0000 2.6524
Tc 0.0000 0.0000 4.3853
Ni 0.0000 2.5756 1.8580
```

Entry 14:
# Sr3NiTe

A geometry-optimized Sr3NiTe structure (PBEsol, the Alexandria database). Values from VASP.

Values from the calculation:
Formation energy (no corrections) ... -0.38 eV per atom
E above lowest polymorph ... 0.00 eV/f.u.
E_tot ... -3.42 eV per atom
D(E_F) ... 4.63 states/eV/cell
Space-group type ... Pm-3m, No. 221

```
&SYSTEM
  ibrav = 0, nat = 5, ntyp = 3
/
ATOMIC_SPECIES
Sr 87.62 Sr.upf
Ni 58.69 Ni.upf
Te 127.60 Te.upf
CELL_PARAMETERS angstrom
5.5547 0.0000 0.0000
0.0000 5.5547 0.0000
0.0000 0.0000 5.5547
ATOMIC_POSITIONS angstrom
Sr 0.0000 0.0000 2.7774
Sr 0.0000 2.7774 0.0000
Sr 2.7774 0.0000 0.0000
Ni 0.0000 0.0000 0.0000
Te 2.7774 2.7774 2.7774
```

Entry 15:
# Sr2NiTe

A geometry-optimized Sr2NiTe structure (PBEsol, the Alexandria database). Values from VASP.

Values from the calculation:
Formation energy (no corrections) ... -0.64 eV per atom
E_tot ... -3.99 eV per atom
D(E_F) ... 1.82 states/eV/cell
Space-group type ... Amm2, No. 38

```
&SYSTEM
  ibrav = 0, nat = 4, ntyp = 3
/
ATOMIC_SPECIES
Sr 87.62 Sr.upf
Ni 58.69 Ni.upf
Te 127.60 Te.upf
CELL_PARAMETERS angstrom
4.4107 0.0000 0.0000
0.0000 2.1978 5.8585
0.0000 -2.1978 5.8585
ATOMIC_POSITIONS angstrom
Sr 0.0000 0.0000 0.0000
Sr 2.2053 0.0000 3.3653
Ni 0.0000 0.0000 8.3200
Te 2.2053 0.0000 6.8203
```

Entry 16:
# Sr2NiTe

A geometry-optimized Sr2NiTe structure (PBEsol, the Alexandria database). Values from VASP.

Values from the calculation:
Formation energy (no corrections) ... -0.55 eV per atom
E_tot ... -3.89 eV per atom
D(E_F) ... 6.22 states/eV/cell
Space-group type ... R-3m, No. 166

```
&SYSTEM
  ibrav = 0, nat = 4, ntyp = 3
/
ATOMIC_SPECIES
Sr 87.62 Sr.upf
Ni 58.69 Ni.upf
Te 127.60 Te.upf
CELL_PARAMETERS angstrom
2.2182 1.2807 7.3559
-2.2182 1.2807 7.3559
0.0000 -2.5614 7.3559
ATOMIC_POSITIONS angstrom
Sr 0.0000 0.0000 5.3737
Sr 0.0000 0.0000 16.6941
Ni 0.0000 0.0000 11.0339
Te 0.0000 0.0000 0.0000
```

Entry 17:
# Sr2NiTe

A geometry-optimized Sr2NiTe structure (PBEsol, the Alexandria database). Values from VASP.

Values from the calculation:
Formation energy (no corrections) ... -0.51 eV per atom
E_tot ... -3.85 eV per atom
D(E_F) ... 8.35 states/eV/cell
Space-group type ... P4mm, No. 99

```
&SYSTEM
  ibrav = 0, nat = 4, ntyp = 3
/
ATOMIC_SPECIES
Sr 87.62 Sr.upf
Ni 58.69 Ni.upf
Te 127.60 Te.upf
CELL_PARAMETERS angstrom
4.4967 0.0000 0.0000
0.0000 4.4967 0.0000
0.0000 0.0000 6.3713
ATOMIC_POSITIONS angstrom
Sr 0.0000 0.0000 0.0000
Sr 2.2483 2.2483 3.0325
Ni 2.2483 2.2483 6.3300
Te 0.0000 0.0000 3.1949
```

Entry 18:
# SrTiNi3

A geometry-optimized SrTiNi3 structure (PBEsol, the Alexandria database). Values from VASP.

Values from the calculation:
E_tot ... -5.32 eV per atom
D(E_F) ... 3.49 states/eV/cell
Space-group type ... Pm-3m, No. 221

```
&SYSTEM
  ibrav = 0, nat = 5, ntyp = 3
/
ATOMIC_SPECIES
Sr 87.62 Sr.upf
Ti 47.87 Ti.upf
Ni 58.69 Ni.upf
CELL_PARAMETERS angstrom
4.5023 0.0000 0.0000
0.0000 4.5023 0.0000
0.0000 0.0000 4.5023
ATOMIC_POSITIONS angstrom
Sr 0.0000 0.0000 0.0000
Ti 2.2512 2.2512 2.2512
Ni 0.0000 2.2512 2.2512
Ni 2.2512 0.0000 2.2512
Ni 2.2512 2.2512 0.0000
```

Entry 19:
# SrTl2Ni

A geometry-optimized SrTl2Ni structure (PBEsol, the Alexandria database). Values from VASP.

Values from the calculation:
E_tot ... -3.37 eV per atom
D(E_F) ... 2.84 states/eV/cell
Space-group type ... Immm, No. 71

```
&SYSTEM
  ibrav = 0, nat = 4, ntyp = 3
/
ATOMIC_SPECIES
Sr 87.62 Sr.upf
Tl 204.38 Tl.upf
Ni 58.69 Ni.upf
CELL_PARAMETERS angstrom
-1.8112 2.7607 4.8872
1.8112 -2.7607 4.8872
1.8112 2.7607 -4.8872
ATOMIC_POSITIONS angstrom
Sr 0.0000 0.0000 0.0000
Tl 1.8112 0.0000 2.9345
Tl 0.0000 2.7607 1.9527
Ni 0.0000 0.0000 4.8872
```

Entry 20:
# SrTlNi2

A geometry-optimized SrTlNi2 structure (PBEsol, the Alexandria database). Values from VASP.

Values from the calculation:
E above lowest polymorph ... 0.00 eV/f.u.
E_tot ... -4.26 eV per atom
D(E_F) ... 2.68 states/eV/cell
Space-group type ... R-3m, No. 166

```
&SYSTEM
  ibrav = 0, nat = 4, ntyp = 3
/
ATOMIC_SPECIES
Sr 87.62 Sr.upf
Tl 204.38 Tl.upf
Ni 58.69 Ni.upf
CELL_PARAMETERS angstrom
2.1996 1.2700 5.1175
-2.1996 1.2700 5.1175
0.0000 -2.5399 5.1175
ATOMIC_POSITIONS angstrom
Sr 0.0000 0.0000 0.0000
Tl 0.0000 0.0000 7.6762
Ni 0.0000 0.0000 2.8566
Ni 0.0000 0.0000 12.4957
```